Record 1
VASP calculation (PBEsol) on a relaxed AlSiNi2 crystal.

abc: 2.805 2.805 5.728
angles: 90.00 90.00 90.00
Positions (direct):
Al 0.000 0.000 0.000
Si 0.000 0.000 0.500
Ni 0.500 0.500 0.273
Ni 0.500 0.500 0.727

Summary:
Total magnetic moment (Bohr magnetons per cell): 0.000
Symmetry: P4/mmm (123)

***

Record 2
VASP calculation (PBEsol) on a relaxed AlSiNi crystal.

abc: 3.870 3.870 3.870
angles: 60.00 60.00 60.00
Positions (direct):
Al 0.000 0.000 0.000
Si 0.500 0.500 0.500
Ni 0.750 0.750 0.750

Summary:
Total magnetic moment (Bohr magnetons per cell): 0.000
Symmetry: F-43m (216)

***

Record 3
VASP calculation (PBEsol) on a relaxed Al2Si2Ni crystal.

abc: 5.212 7.820 3.569
angles: 90.00 90.00 90.00
Positions (direct):
Al 0.156 0.205 0.000
Al 0.344 0.705 0.000
Al 0.656 0.295 0.000
Al 0.844 0.795 0.000
Si 0.220 0.944 0.500
Si 0.280 0.444 0.500
Si 0.720 0.556 0.500
Si 0.780 0.056 0.500
Ni 0.000 0.500 0.000
Ni 0.500 0.000 0.000

Summary:
Total magnetic moment (Bohr magnetons per cell): 0.000
Symmetry: Pbam (55)

***

no.,raw formation energy (meV/atom),E (eV/atom)
1,-595,-6.13
2,-556,-5.89
3,-201,-5.37